#A
A plane-wave DFT calculation with PBE-GGA was carried out for a geometry-optimized CdSn2N structure.

Cell: 6.0397 6.0397 6.8774 Å, 63.95 63.95 90.00°
Atoms (fractional coordinates):
Sn1 0.5405 0.1250 0.2500
Sn2 0.2095 0.6250 0.2500
Sn3 0.3750 0.4595 0.7500
Sn4 0.8750 0.7905 0.7500
N1 0.2500 0.7500 0.5000
N2 0.5000 0.5000 0.0000
Cd1 0.7500 0.2500 0.5000
Cd2 0.0000 0.0000 0.0000

Symmetry ... I-42d (122)

***

#B
A plane-wave DFT calculation with PBE-GGA was carried out for a geometry-optimized CdSn2N structure.

Cell: 4.8965 4.8965 4.8965 Å, 60.00 60.00 60.00°
Atoms (fractional coordinates):
N1 0.0000 0.0000 0.0000
Sn1 0.7500 0.7500 0.7500
Sn2 0.2500 0.2500 0.2500
Cd1 0.5000 0.5000 0.5000

Symmetry ... Fm-3m (225)

***

Energies relative to the most stable structure are #A 0.000; #B 0.644, reported in eV/atom.

***

#A
A plane-wave DFT calculation with PBE-GGA was carried out for a geometry-optimized CdSnN2 structure.

Cell: 5.6937 3.1681 9.5197 Å, 83.46 79.93 55.67°
Atoms (fractional coordinates):
Sn1 0.7548 0.9597 0.1401
N1 0.9614 0.1669 0.6319
N2 0.7598 0.3477 0.7088
Cd1 0.2230 0.9517 0.2579

Symmetry ... P1 (1)

***

#B
A plane-wave DFT calculation with PBE-GGA was carried out for a geometry-optimized CdSnN2 structure.

Cell: 6.4408 6.4408 6.4408 Å, 33.58 33.58 33.58°
Atoms (fractional coordinates):
N1 0.8937 0.8937 0.8937
N2 0.1063 0.1063 0.1063
Sn1 0.0000 0.0000 0.0000
Cd1 0.5000 0.5000 0.5000

Symmetry ... R-3m (166)

***

Energies relative to the most stable structure are #A 0.000; #B 0.822, reported in eV/atom.

***

#A
A plane-wave DFT calculation with PBE-GGA was carried out for a geometry-optimized CdSnN2 structure.

Cell: 4.2155 4.2155 4.2155 Å, 60.00 60.00 60.00°
Atoms (fractional coordinates):
N1 0.2500 0.2500 0.2500
N2 0.7500 0.7500 0.7500
Cd1 0.0000 0.0000 0.0000
Sn1 0.5000 0.5000 0.5000

Symmetry ... Fm-3m (225)

***

#B
A plane-wave DFT calculation with PBE-GGA was carried out for a geometry-optimized CdSnN2 structure.

Cell: 6.5910 6.5910 6.5910 Å, 29.70 29.70 29.70°
Atoms (fractional coordinates):
Sn1 0.5000 0.5000 0.5000
N1 0.8907 0.8907 0.8907
N2 0.1093 0.1093 0.1093
Cd1 0.0000 0.0000 0.0000

Symmetry ... R-3m (166)

***

Energies relative to the most stable structure are #A 0.927; #B 0.000, reported in eV/atom.

***

#A
A plane-wave DFT calculation with PBE-GGA was carried out for a geometry-optimized CdSnN2 structure.

Cell: 5.1321 5.1321 6.1004 Å, 65.13 65.13 90.00°
Atoms (fractional coordinates):
N1 0.0913 0.6250 0.2500
N2 0.6587 0.1250 0.2500
N3 0.8750 0.9087 0.7500
N4 0.3750 0.3413 0.7500
Sn1 0.7500 0.2500 0.5000
Sn2 0.0000 0.0000 0.0000
Cd1 0.5000 0.5000 0.0000
Cd2 0.2500 0.7500 0.5000

Symmetry ... I-42d (122)

***

#B
A plane-wave DFT calculation with PBE-GGA was carried out for a geometry-optimized CdSnN2 structure.

Cell: 6.1351 7.2531 5.8126 Å, 90.00 90.00 90.00°
Atoms (fractional coordinates):
Sn1 0.0765 0.1258 0.9996
Sn2 0.5765 0.3742 0.9996
Sn3 0.4235 0.6258 0.4996
Sn4 0.9235 0.8742 0.4996
N1 0.0981 0.6407 0.3939
N2 0.5652 0.3906 0.3588
N3 0.9019 0.3593 0.8939
N4 0.0652 0.1094 0.3588
N5 0.9348 0.8906 0.8588
N6 0.4348 0.6094 0.8588
N7 0.4019 0.1407 0.8939
N8 0.5981 0.8593 0.3939
Cd1 0.5834 0.8758 0.9976
Cd2 0.9166 0.3758 0.4976
Cd3 0.4166 0.1242 0.4976
Cd4 0.0834 0.6242 0.9976

Symmetry ... Pna2_1 (33)

***

Energies relative to the most stable structure are #A 0.008; #B 0.000, reported in eV/atom.

***

#A
A plane-wave DFT calculation with PBE-GGA was carried out for a geometry-optimized CdSn3N structure.

Cell: 4.8450 4.8450 4.8450 Å, 90.00 90.00 90.00°
Atoms (fractional coordinates):
Sn1 0.0000 0.0000 0.5000
Sn2 0.5000 0.0000 0.0000
Sn3 0.0000 0.5000 0.0000
Cd1 0.5000 0.5000 0.5000
N1 0.0000 0.0000 0.0000

Symmetry ... Pm-3m (221)

***

#B
A plane-wave DFT calculation with PBE-GGA was carried out for a geometry-optimized CdSn3N structure.

Cell: 5.4206 5.4206 5.4206 Å, 90.00 90.00 90.00°
Atoms (fractional coordinates):
N1 0.5000 0.5000 0.5000
Sn1 0.0000 0.5000 0.0000
Sn2 0.5000 0.0000 0.0000
Sn3 0.0000 0.0000 0.5000
Cd1 0.0000 0.0000 0.0000

Symmetry ... Pm-3m (221)

***

Energies relative to the most stable structure are #A 0.000; #B 1.187, reported in eV/atom.

***

#A
A plane-wave DFT calculation with PBE-GGA was carried out for a geometry-optimized CdSnTe2N structure.

Cell: 5.8002 5.8002 4.2113 Å, 90.00 90.00 90.00°
Atoms (fractional coordinates):
Cd1 0.0000 0.0000 0.0000
Te1 0.0000 0.5000 0.0000
Te2 0.5000 0.0000 0.0000
Sn1 0.5000 0.5000 0.5000
N1 0.0000 0.0000 0.5000

Symmetry ... P4/mmm (123)

***

#B
A plane-wave DFT calculation with PBE-GGA was carried out for a geometry-optimized CdSnTe2N structure.

Cell: 5.9657 5.9657 3.8985 Å, 90.00 90.00 90.00°
Atoms (fractional coordinates):
Te1 0.0000 0.5000 0.0000
Te2 0.5000 0.0000 0.0000
Sn1 0.0000 0.0000 0.0000
N1 0.0000 0.0000 0.5000
Cd1 0.5000 0.5000 0.5000

Symmetry ... P4/mmm (123)

***

Energies relative to the most stable structure are #A 0.135; #B 0.000, reported in eV/atom.

***

#A
A plane-wave DFT calculation with PBE-GGA was carried out for a geometry-optimized Sr2CdN structure.

Cell: 7.6734 7.6734 6.8925 Å, 56.18 56.18 90.00°
Atoms (fractional coordinates):
Cd1 0.0000 0.0000 0.0000
Cd2 0.7500 0.2500 0.5000
N1 0.5000 0.5000 0.0000
N2 0.2500 0.7500 0.5000
Sr1 0.3750 0.4833 0.7500
Sr2 0.5167 0.1250 0.2500
Sr3 0.8750 0.7667 0.7500
Sr4 0.2333 0.6250 0.2500

Symmetry ... I-42d (122)

***

#B
A plane-wave DFT calculation with PBE-GGA was carried out for a geometry-optimized Sr2CdN structure.

Cell: 5.2694 5.2694 5.2694 Å, 60.00 60.00 60.00°
Atoms (fractional coordinates):
Sr1 0.7500 0.7500 0.7500
Sr2 0.2500 0.2500 0.2500
N1 0.0000 0.0000 0.0000
Cd1 0.5000 0.5000 0.5000

Symmetry ... Fm-3m (225)

***

Energies relative to the most stable structure are #A 0.000; #B 0.537, reported in eV/atom.

***

#A
A plane-wave DFT calculation with PBE-GGA was carried out for a geometry-optimized Sr2CdN structure.

Cell: 3.3449 3.3449 8.5139 Å, 90.00 90.00 90.00°
Atoms (fractional coordinates):
Sr1 0.0000 0.0000 0.8332
Sr2 0.0000 0.0000 0.1668
Cd1 0.5000 0.5000 0.5000
N1 0.5000 0.5000 0.0000

Symmetry ... P4/mmm (123)

***

#B
A plane-wave DFT calculation with PBE-GGA was carried out for a geometry-optimized Sr2CdN structure.

Cell: 3.7997 3.7997 9.2199 Å, 78.11 78.11 60.00°
Atoms (fractional coordinates):
Sr1 0.0517 0.0517 0.8448
Sr2 0.2819 0.2819 0.1544
N1 0.6665 0.6665 0.0005
Cd1 0.4999 0.4999 0.5003

Symmetry ... R3m (160)

***

Energies relative to the most stable structure are #A 0.227; #B 0.000, reported in eV/atom.

***

#A
A plane-wave DFT calculation with PBE-GGA was carried out for a geometry-optimized Sr2CdN structure.

Cell: 3.7003 3.7003 9.1556 Å, 90.00 90.00 120.01°
Atoms (fractional coordinates):
Sr1 0.4664 0.5336 0.6611
Sr2 0.4664 0.5336 0.3389
Cd1 0.8001 0.1999 0.0000
N1 0.1331 0.8669 0.5000

Symmetry ... P-6m2 (187)

***

#B
A plane-wave DFT calculation with PBE-GGA was carried out for a geometry-optimized Sr2CdN structure.

Cell: 3.7979 3.7979 9.2267 Å, 78.12 78.12 60.00°
Atoms (fractional coordinates):
Cd1 0.0000 0.0000 0.0000
N1 0.5000 0.5000 0.5000
Sr1 0.7818 0.7818 0.6547
Sr2 0.2182 0.2182 0.3453

Symmetry ... R-3m (166)

***

Energies relative to the most stable structure are #A 0.131; #B 0.000, reported in eV/atom.

***

#A
A plane-wave DFT calculation with PBE-GGA was carried out for a geometry-optimized Sr3CdN structure.

Cell: 5.3153 5.3153 5.3153 Å, 90.00 90.00 90.00°
Atoms (fractional coordinates):
Cd1 0.5000 0.5000 0.5000
N1 0.0000 0.0000 0.0000
Sr1 0.0000 0.5000 0.0000
Sr2 0.0000 0.0000 0.5000
Sr3 0.5000 0.0000 0.0000

Symmetry ... Pm-3m (221)

***

#B
A plane-wave DFT calculation with PBE-GGA was carried out for a geometry-optimized Sr3CdN structure.

Cell: 7.2391 7.2415 8.0910 Å, 90.00 63.39 59.99°
Atoms (fractional coordinates):
N1 0.3781 0.2658 0.7422
N2 0.0483 0.9306 0.7369
Sr1 0.3673 0.0203 0.5071
Sr2 0.5573 0.1763 0.9720
Sr3 0.3675 0.5221 0.5071
Sr4 0.8691 0.0202 0.5071
Sr5 0.0589 0.6744 0.9720
Sr6 0.0591 0.1762 0.9720
Cd1 0.4900 0.7098 0.0744
Cd2 0.9364 0.4866 0.4047

Symmetry ... C2/m (12)

***

Energies relative to the most stable structure are #A 0.000; #B 0.088, reported in eV/atom.

***

#A
A plane-wave DFT calculation with PBE-GGA was carried out for a geometry-optimized Sr2ZnCdN structure.

Cell: 5.4896 5.4896 4.0437 Å, 90.00 90.00 90.00°
Atoms (fractional coordinates):
Sr1 0.5000 0.0000 0.0000
Sr2 0.0000 0.5000 0.0000
Zn1 0.0000 0.0000 0.5000
N1 0.0000 0.0000 0.0000
Cd1 0.5000 0.5000 0.5000

Symmetry ... P4/mmm (123)

***

#B
A plane-wave DFT calculation with PBE-GGA was carried out for a geometry-optimized Sr2ZnCdN structure.

Cell: 3.8185 8.9744 8.3799 Å, 120.26 90.00 90.00°
Atoms (fractional coordinates):
Zn1 0.2500 0.5826 0.6272
Zn2 0.7500 0.4174 0.3728
Cd1 0.7500 0.3859 0.8153
Cd2 0.2500 0.6141 0.1847
Sr1 0.2500 0.1607 0.4205
Sr2 0.2500 0.1748 0.0082
Sr3 0.7500 0.8393 0.5795
Sr4 0.7500 0.8252 0.9918
N1 0.2500 0.8430 0.7898
N2 0.7500 0.1570 0.2102

Symmetry ... P2_1/m (11)

***

Energies relative to the most stable structure are #A 0.133; #B 0.000, reported in eV/atom.

***

#A
A plane-wave DFT calculation with PBE-GGA was carried out for a geometry-optimized Ta2CdN2 structure.

Cell: 3.8236 3.8236 5.5037 Å, 69.67 69.67 90.00°
Atoms (fractional coordinates):
Cd1 0.0000 0.0000 0.0000
N1 0.2500 0.7500 0.5000
N2 0.7500 0.2500 0.5000
Ta1 0.6537 0.6537 0.6927
Ta2 0.3463 0.3463 0.3073

Symmetry ... I4/mmm (139)

***

#B
A plane-wave DFT calculation with PBE-GGA was carried out for a geometry-optimized Ta2CdN2 structure.

Cell: 6.9490 6.9490 2.8462 Å, 90.00 90.00 90.00°
Atoms (fractional coordinates):
Ta1 0.1355 0.3645 0.0000
Ta2 0.8645 0.6355 0.0000
Ta3 0.6355 0.1355 0.0000
Ta4 0.3645 0.8645 0.0000
Cd1 0.0000 0.0000 0.0000
Cd2 0.5000 0.5000 0.0000
N1 0.3795 0.1205 0.5000
N2 0.6205 0.8795 0.5000
N3 0.1205 0.6205 0.5000
N4 0.8795 0.3795 0.5000

Symmetry ... P4/mbm (127)

***

Energies relative to the most stable structure are #A 0.000; #B 0.865, reported in eV/atom.